[1]
MnMo2Rh, relaxed, DFT PBE-GGA; symmetry = P4/mmm (123); ΔE_f = 8 meV/atom; relative energy among the computed polymorphs = 3 meV/atom; calculated total energy = -9.5379 eV per atom
1.0
-3.514 1.161 1.437
-0.215 -3.207 2.066
1.764 1.751 2.901
Mn Mo Rh
1 2 1
Cartesian
-0.875 1.456 2.169
0.000 0.000 0.000
0.775 -0.728 2.484
-1.865 -1.023 1.751

---

[2]
MnMo3Rh, relaxed, DFT PBE-GGA; symmetry = Pm-3m (221); ΔE_f = 1066 meV/atom; relative energy among the computed polymorphs = 0 meV/atom; calculated total energy = -8.7365 eV per atom
1.0
-2.131 3.515 1.572
-3.822 -2.148 -0.380
0.464 -1.549 4.093
Mo Mn Rh
3 1 1
Cartesian
-1.911 -1.074 -0.190
0.232 -0.774 2.047
-1.066 1.757 0.786
0.000 0.000 0.000
-2.745 -0.091 2.642

---

[3]
MnMo2Rh, relaxed, DFT PBE-GGA; symmetry = Cm (8); ΔE_f = 67 meV/atom; relative energy among the computed polymorphs = 63 meV/atom; calculated total energy = -9.4785 eV per atom
1.0
-1.946 3.528 2.462
-3.800 2.727 0.647
-2.225 -2.566 3.406
Mn Mo Rh
1 2 1
Cartesian
-6.035 2.769 4.944
-2.206 -2.461 3.341
-2.006 0.827 1.685
-3.933 1.834 3.209